(a)
DFT (PBE-GGA) results for a relaxed TaCdInCo crystal.

spin magnetization = 1.25 μB per formula unit
volume = 70.3 Å³/f.u.

Geometry as CIF:
```
data_TaCdInCo
_cell_length_a 6.550
_cell_length_b 6.550
_cell_length_c 6.550
_cell_angle_alpha 90.00
_cell_angle_beta 90.00
_cell_angle_gamma 90.00
_symmetry_space_group_name_H-M 'F -4 3 m'
_symmetry_Int_Tables_number 216
_symmetry_space_group_name_Hall 'F -4 2 3'
loop_
_atom_site_label
_atom_site_type_symbol
_atom_site_fract_x
_atom_site_fract_y
_atom_site_fract_z
_atom_site_occupancy
Ta1 Ta 0.000 0.000 0.000 1
Cd1 Cd 0.250 0.250 0.750 1
In1 In 0.250 0.250 0.250 1
Co1 Co 0.000 0.000 0.500 1
```

(b)
DFT (PBE-GGA) results for a relaxed TaCdInCo crystal.

spin magnetization = 0.15 μB per formula unit
volume = 68.9 Å³/f.u.

Geometry as CIF:
```
data_TaCdInCo
_cell_length_a 6.509
_cell_length_b 6.509
_cell_length_c 6.509
_cell_angle_alpha 90.00
_cell_angle_beta 90.00
_cell_angle_gamma 90.00
_symmetry_space_group_name_H-M 'F -4 3 m'
_symmetry_Int_Tables_number 216
_symmetry_space_group_name_Hall 'F -4 2 3'
loop_
_atom_site_label
_atom_site_type_symbol
_atom_site_fract_x
_atom_site_fract_y
_atom_site_fract_z
_atom_site_occupancy
Ta1 Ta 0.000 0.000 0.000 1
Cd1 Cd 0.250 0.250 0.250 1
In1 In 0.000 0.000 0.500 1
Co1 Co 0.250 0.250 0.750 1
```

Stability check: which of them is most stable? (b).

(a)
DFT (PBE-GGA) results for a relaxed LiCdCoMo crystal.

spin magnetization = 0.01 μB per formula unit
volume = 58.6 Å³/f.u.

Geometry as CIF:
```
data_LiCdCoMo
_cell_length_a 6.164
_cell_length_b 6.164
_cell_length_c 6.164
_cell_angle_alpha 90.00
_cell_angle_beta 90.00
_cell_angle_gamma 90.00
_symmetry_space_group_name_H-M 'F -4 3 m'
_symmetry_Int_Tables_number 216
_symmetry_space_group_name_Hall 'F -4 2 3'
loop_
_atom_site_label
_atom_site_type_symbol
_atom_site_fract_x
_atom_site_fract_y
_atom_site_fract_z
_atom_site_occupancy
Li1 Li 0.000 0.000 0.000 1
Cd1 Cd 0.250 0.250 0.750 1
Co1 Co 0.250 0.250 0.250 1
Mo1 Mo 0.000 0.000 0.500 1
```

(b)
DFT (PBE-GGA) results for a relaxed LiCdCoMo crystal.

spin magnetization = 0.00 μB per formula unit
volume = 54.9 Å³/f.u.

Geometry as CIF:
```
data_LiCdCoMo
_cell_length_a 6.032
_cell_length_b 6.032
_cell_length_c 6.032
_cell_angle_alpha 90.00
_cell_angle_beta 90.00
_cell_angle_gamma 90.00
_symmetry_space_group_name_H-M 'F -4 3 m'
_symmetry_Int_Tables_number 216
_symmetry_space_group_name_Hall 'F -4 2 3'
loop_
_atom_site_label
_atom_site_type_symbol
_atom_site_fract_x
_atom_site_fract_y
_atom_site_fract_z
_atom_site_occupancy
Li1 Li 0.000 0.000 0.000 1
Cd1 Cd 0.250 0.250 0.250 1
Co1 Co 0.000 0.000 0.500 1
Mo1 Mo 0.250 0.250 0.750 1
```

Stability check: which of them is most stable? (b).

(a)
DFT (PBE-GGA) results for a relaxed LiCdCoSi crystal.

spin magnetization = 0.00 μB per formula unit
volume = 53.7 Å³/f.u.

Geometry as CIF:
```
data_LiCdCoSi
_cell_length_a 5.989
_cell_length_b 5.989
_cell_length_c 5.989
_cell_angle_alpha 90.00
_cell_angle_beta 90.00
_cell_angle_gamma 90.00
_symmetry_space_group_name_H-M 'F -4 3 m'
_symmetry_Int_Tables_number 216
_symmetry_space_group_name_Hall 'F -4 2 3'
loop_
_atom_site_label
_atom_site_type_symbol
_atom_site_fract_x
_atom_site_fract_y
_atom_site_fract_z
_atom_site_occupancy
Li1 Li 0.000 0.000 0.000 1
Cd1 Cd 0.250 0.250 0.750 1
Co1 Co 0.000 0.000 0.500 1
Si1 Si 0.250 0.250 0.250 1
```

(b)
DFT (PBE-GGA) results for a relaxed LiCdCoSi crystal.

spin magnetization = 0.53 μB per formula unit
volume = 53.8 Å³/f.u.

Geometry as CIF:
```
data_LiCdCoSi
_cell_length_a 5.994
_cell_length_b 5.994
_cell_length_c 5.994
_cell_angle_alpha 90.00
_cell_angle_beta 90.00
_cell_angle_gamma 90.00
_symmetry_space_group_name_H-M 'F -4 3 m'
_symmetry_Int_Tables_number 216
_symmetry_space_group_name_Hall 'F -4 2 3'
loop_
_atom_site_label
_atom_site_type_symbol
_atom_site_fract_x
_atom_site_fract_y
_atom_site_fract_z
_atom_site_occupancy
Li1 Li 0.000 0.000 0.000 1
Cd1 Cd 0.250 0.250 0.250 1
Co1 Co 0.250 0.250 0.750 1
Si1 Si 0.000 0.000 0.500 1
```

Stability check: which of them is most stable? (a).

(a)
DFT (PBE-GGA) results for a relaxed LuCdCoSi crystal.

spin magnetization = 0.21 μB per formula unit
volume = 68.8 Å³/f.u.

Geometry as CIF:
```
data_LuCdCoSi
_cell_length_a 6.503
_cell_length_b 6.503
_cell_length_c 6.503
_cell_angle_alpha 90.00
_cell_angle_beta 90.00
_cell_angle_gamma 90.00
_symmetry_space_group_name_H-M 'F -4 3 m'
_symmetry_Int_Tables_number 216
_symmetry_space_group_name_Hall 'F -4 2 3'
loop_
_atom_site_label
_atom_site_type_symbol
_atom_site_fract_x
_atom_site_fract_y
_atom_site_fract_z
_atom_site_occupancy
Lu1 Lu 0.000 0.000 0.000 1
Cd1 Cd 0.250 0.250 0.750 1
Co1 Co 0.000 0.000 0.500 1
Si1 Si 0.250 0.250 0.250 1
```

(b)
DFT (PBE-GGA) results for a relaxed LuCdCoSi crystal.

spin magnetization = 0.00 μB per formula unit
volume = 66.4 Å³/f.u.

Geometry as CIF:
```
data_LuCdCoSi
_cell_length_a 6.429
_cell_length_b 6.429
_cell_length_c 6.429
_cell_angle_alpha 90.00
_cell_angle_beta 90.00
_cell_angle_gamma 90.00
_symmetry_space_group_name_H-M 'F -4 3 m'
_symmetry_Int_Tables_number 216
_symmetry_space_group_name_Hall 'F -4 2 3'
loop_
_atom_site_label
_atom_site_type_symbol
_atom_site_fract_x
_atom_site_fract_y
_atom_site_fract_z
_atom_site_occupancy
Lu1 Lu 0.000 0.000 0.000 1
Cd1 Cd 0.250 0.250 0.250 1
Co1 Co 0.250 0.250 0.750 1
Si1 Si 0.000 0.000 0.500 1
```

Stability check: which of them is most stable? (a).

(a)
DFT (PBE-GGA) results for a relaxed MgCdCoSe3 crystal.

spin magnetization = 2.80 μB per formula unit
volume = 127.3 Å³/f.u.

Geometry as CIF:
```
data_MgCdCoSe3
_cell_length_a 3.780
_cell_length_b 12.584
_cell_length_c 10.710
_cell_angle_alpha 90.00
_cell_angle_beta 90.00
_cell_angle_gamma 90.00
_symmetry_space_group_name_H-M 'C m c m'
_symmetry_Int_Tables_number 63
_symmetry_space_group_name_Hall '-C 2c 2'
loop_
_atom_site_label
_atom_site_type_symbol
_atom_site_fract_x
_atom_site_fract_y
_atom_site_fract_z
_atom_site_occupancy
Mg1 Mg 0.000 0.232 0.250 1
Cd1 Cd 0.000 0.000 0.000 1
Co1 Co 0.000 0.475 0.750 1
Se1 Se 0.000 0.095 0.750 1
Se2 Se 0.000 0.349 0.581 1
```

(b)
DFT (PBE-GGA) results for a relaxed MgCdCoSe3 crystal.

spin magnetization = 1.12 μB per formula unit
volume = 139.5 Å³/f.u.

Geometry as CIF:
```
data_MgCdCoSe3
_cell_length_a 3.591
_cell_length_b 14.480
_cell_length_c 10.728
_cell_angle_alpha 90.00
_cell_angle_beta 90.00
_cell_angle_gamma 90.00
_symmetry_space_group_name_H-M 'C m c m'
_symmetry_Int_Tables_number 63
_symmetry_space_group_name_Hall '-C 2c 2'
loop_
_atom_site_label
_atom_site_type_symbol
_atom_site_fract_x
_atom_site_fract_y
_atom_site_fract_z
_atom_site_occupancy
Mg1 Mg 0.000 0.184 0.250 1
Cd1 Cd 0.000 0.452 0.250 1
Co1 Co 0.000 0.000 0.000 1
Se1 Se 0.000 0.187 0.750 1
Se2 Se 0.000 0.407 0.574 1
```

Stability check: which of them is most stable? (a).

(a)
DFT (PBE-GGA) results for a relaxed MgCdCoTe3 crystal.

spin magnetization = 2.11 μB per formula unit
volume = 154.4 Å³/f.u.

Geometry as CIF:
```
data_MgCdCoTe3
_cell_length_a 4.027
_cell_length_b 13.351
_cell_length_c 11.486
_cell_angle_alpha 90.00
_cell_angle_beta 90.00
_cell_angle_gamma 90.00
_symmetry_space_group_name_H-M 'C m c m'
_symmetry_Int_Tables_number 63
_symmetry_space_group_name_Hall '-C 2c 2'
loop_
_atom_site_label
_atom_site_type_symbol
_atom_site_fract_x
_atom_site_fract_y
_atom_site_fract_z
_atom_site_occupancy
Mg1 Mg 0.000 0.221 0.250 1
Cd1 Cd 0.000 0.000 0.000 1
Co1 Co 0.000 0.467 0.750 1
Te1 Te 0.000 0.085 0.750 1
Te2 Te 0.000 0.345 0.577 1
```

(b)
DFT (PBE-GGA) results for a relaxed MgCdCoTe3 crystal.

spin magnetization = 1.38 μB per formula unit
volume = 153.6 Å³/f.u.

Geometry as CIF:
```
data_MgCdCoTe3
_cell_length_a 3.936
_cell_length_b 13.770
_cell_length_c 11.334
_cell_angle_alpha 90.00
_cell_angle_beta 90.00
_cell_angle_gamma 90.00
_symmetry_space_group_name_H-M 'C m c m'
_symmetry_Int_Tables_number 63
_symmetry_space_group_name_Hall '-C 2c 2'
loop_
_atom_site_label
_atom_site_type_symbol
_atom_site_fract_x
_atom_site_fract_y
_atom_site_fract_z
_atom_site_occupancy
Mg1 Mg 0.000 0.199 0.250 1
Cd1 Cd 0.000 0.497 0.750 1
Co1 Co 0.000 0.000 0.000 1
Te1 Te 0.000 0.146 0.750 1
Te2 Te 0.000 0.378 0.547 1
```

Stability check: which of them is most stable? (a).